{
  "formula": "CrCuOF2",
  "functional": "PBE+U",
  "state": "relaxed",
  "lattice": [[3.8642, 0.0000, 0.0000], [0.0000, 3.8642, 0.0000], [0.0000, 0.0000, 3.9663]],
  "species": ["Cr", "F", "F", "Cu", "O"],
  "fractional_positions": [[0.5000, 0.5000, 0.5000], [0.5000, 0.0000, 0.0000], [0.0000, 0.5000, 0.0000], [0.0000, 0.0000, 0.0000], [0.0000, 0.0000, 0.5000]],
  "polymorph_energy_kj_per_mol_atoms": 31.7,
  "energy_ev_per_atom": -5.159
}